Record 1
This record from the Alexandria database describes an optimized crystal structure of Tc2P2W. The functional is GGA-PBE.

Lattice parameters (Å, degrees): 6.869 6.869 2.899 90.00 90.00 90.00
Fractional positions:
Tc  0.354  0.146  0.500
Tc  0.854  0.354  0.500
Tc  0.646  0.854  0.500
Tc  0.146  0.646  0.500
P  0.342  0.842  0.000
P  0.842  0.658  0.000
P  0.158  0.342  0.000
P  0.658  0.158  0.000
W  0.500  0.500  0.000
W  0.000  0.000  0.000

* volume: 136.80 Å³ per cell
* formation energy from the elements: -0.7 eV per formula unit
* DOS at the Fermi energy: 8.67 states/eV/cell
* final energy: -9.04 eV/atom
* space-group type: No. 127

***

Record 2
This record from the Alexandria database describes an optimized crystal structure of Tc3PW. The functional is GGA-PBE.

Lattice parameters (Å, degrees): 4.309 4.309 4.309 90.00 90.00 90.00
Fractional positions:
Tc  0.000  0.000  0.500
Tc  0.500  0.000  0.000
Tc  0.000  0.500  0.000
W  0.500  0.500  0.500
P  0.000  0.000  0.000

* volume: 80.03 Å³ per cell
* formation energy from the elements: 2.9 eV per formula unit
* DOS at the Fermi energy: 4.69 states/eV/cell
* final energy: -9.32 eV/atom
* ΔE to the lowest computed polymorph: 0.7885 eV/atom
* space-group type: No. 221

***

Record 3
This record from the Alexandria database describes an optimized crystal structure of Tc2PW2. The functional is GGA-PBE.

Lattice parameters (Å, degrees): 6.405 6.405 6.405 143.86 143.86 52.04
Fractional positions:
Tc  0.388  0.388  0.000
Tc  0.612  0.612  0.000
P  0.000  0.000  0.000
W  0.250  0.750  0.500
W  0.750  0.250  0.500

* volume: 90.88 Å³ per cell
* formation energy from the elements: 3.8 eV per formula unit
* DOS at the Fermi energy: 3.72 states/eV/cell
* final energy: -9.65 eV/atom
* space-group type: No. 139

***

Record 4
This record from the Alexandria database describes an optimized crystal structure of YTcP2. The functional is GGA-PBE.

Lattice parameters (Å, degrees): 4.434 3.486 5.453 71.36 90.00 90.00
Fractional positions:
Tc  0.000  0.420  0.284
P  0.000  0.071  0.982
P  0.500  0.363  0.399
Y  0.500  0.645  0.834

* volume: 79.86 Å³ per cell
* formation energy from the elements: -2.6 eV per formula unit
* DOS at the Fermi energy: 2.74 states/eV/cell
* final energy: -7.57 eV/atom
* ΔE to the lowest computed polymorph: 0.1489 eV/atom
* space-group type: No. 38

***

Record 5
This record from the Alexandria database describes an optimized crystal structure of Y2TcP. The functional is GGA-PBE.

Lattice parameters (Å, degrees): 7.477 7.477 6.184 52.80 52.80 90.00
Fractional positions:
Y  0.875  0.871  0.750
Y  0.129  0.625  0.250
Y  0.621  0.125  0.250
Y  0.375  0.379  0.750
P  0.500  0.500  0.000
P  0.250  0.750  0.500
Tc  0.000  0.000  0.000
Tc  0.750  0.250  0.500

* volume: 179.32 Å³ per cell
* formation energy from the elements: 0.1 eV per formula unit
* DOS at the Fermi energy: 4.15 states/eV/cell
* final energy: -7.15 eV/atom
* space-group type: No. 122

***

Record 6
This record from the Alexandria database describes an optimized crystal structure of YTcP2. The functional is GGA-PBE.

Lattice parameters (Å, degrees): 5.377 5.377 7.439 68.81 68.81 90.00
Fractional positions:
Tc  0.000  0.000  0.000
Tc  0.750  0.250  0.500
P  0.708  0.125  0.250
P  0.375  0.292  0.750
P  0.042  0.625  0.250
P  0.875  0.958  0.750
Y  0.500  0.500  0.000
Y  0.250  0.750  0.500

* volume: 184.82 Å³ per cell
* formation energy from the elements: -1.9 eV per formula unit
* DOS at the Fermi energy: 0.75 states/eV/cell
* final energy: -7.39 eV/atom
* ΔE to the lowest computed polymorph: 0.3270 eV/atom
* space-group type: No. 122

***

Record 7
This record from the Alexandria database describes an optimized crystal structure of Y2TcP. The functional is GGA-PBE.

Lattice parameters (Å, degrees): 4.744 4.744 4.744 60.00 60.00 60.00
Fractional positions:
Y  0.250  0.250  0.250
Y  0.000  0.000  0.000
P  0.500  0.500  0.500
Tc  0.750  0.750  0.750

* volume: 75.50 Å³ per cell
* formation energy from the elements: -0.3 eV per formula unit
* DOS at the Fermi energy: 1.50 states/eV/cell
* final energy: -7.25 eV/atom
* space-group type: No. 216

***

Record 8
This record from the Alexandria database describes an optimized crystal structure of YTc3P. The functional is GGA-PBE.

Lattice parameters (Å, degrees): 4.481 4.481 4.481 90.00 90.00 90.00
Site moments in Bohr magnetons follow the coordinates.
Fractional positions:
Tc  0.000  0.500  0.000  0.64
Tc  0.500  0.000  0.000  0.40
Tc  0.000  0.000  0.500  0.61
P  0.000  0.000  0.000  -0.02
Y  0.500  0.500  0.500  0.06

* volume: 89.96 Å³ per cell
* formation energy from the elements: -0.2 eV per formula unit
* DOS at the Fermi energy: 3.75 states/eV/cell
* final energy: -8.63 eV/atom
* ΔE to the lowest computed polymorph: 0.0000 eV/atom
* space-group type: No. 221

***

Record 9
This record from the Alexandria database describes an optimized crystal structure of YTcP2. The functional is GGA-PBE.

Lattice parameters (Å, degrees): 4.750 4.750 4.976 76.99 76.99 40.11
Fractional positions:
Y  0.748  0.748  0.790
P  0.989  0.989  0.043
P  0.240  0.240  0.293
Tc  0.522  0.522  0.374

* volume: 70.21 Å³ per cell
* formation energy from the elements: -2.1 eV per formula unit
* DOS at the Fermi energy: 1.78 states/eV/cell
* final energy: -7.45 eV/atom
* ΔE to the lowest computed polymorph: 0.2741 eV/atom
* space-group type: No. 8

***

Record 10
This record from the Alexandria database describes an optimized crystal structure of YTcP2. The functional is GGA-PBE.

Lattice parameters (Å, degrees): 4.519 4.519 4.519 60.00 60.00 60.00
Fractional positions:
Y  0.000  0.000  0.000
P  0.750  0.750  0.750
P  0.250  0.250  0.250
Tc  0.500  0.500  0.500

* volume: 65.27 Å³ per cell
* formation energy from the elements: -2.2 eV per formula unit
* DOS at the Fermi energy: 0.08 states/eV/cell
* final energy: -7.46 eV/atom
* ΔE to the lowest computed polymorph: 0.2630 eV/atom
* space-group type: No. 225

***

Record 11
This record from the Alexandria database describes an optimized crystal structure of Y2TcP. The functional is GGA-PBE.

Lattice parameters (Å, degrees): 3.583 3.583 6.367 90.00 90.00 90.00
Fractional positions:
Y  0.000  0.000  0.245
Y  0.000  0.000  0.755
P  0.500  0.500  0.000
Tc  0.500  0.500  0.500

* volume: 81.72 Å³ per cell
* formation energy from the elements: -2.0 eV per formula unit
* DOS at the Fermi energy: 3.37 states/eV/cell
* final energy: -7.68 eV/atom
* space-group type: No. 123

***

Record 12
This record from the Alexandria database describes an optimized crystal structure of Y2TcP. The functional is GGA-PBE.

Lattice parameters (Å, degrees): 4.729 4.729 3.632 90.00 90.00 90.00
Fractional positions:
P  0.500  0.500  0.500
Y  0.000  0.500  0.000
Y  0.500  0.000  0.000
Tc  0.000  0.000  0.500

* volume: 81.22 Å³ per cell
* formation energy from the elements: -1.8 eV per formula unit
* DOS at the Fermi energy: 2.36 states/eV/cell
* final energy: -7.63 eV/atom
* space-group type: No. 123

***

Record 13
This record from the Alexandria database describes an optimized crystal structure of Y2TcP. The functional is GGA-PBE.

Lattice parameters (Å, degrees): 3.991 4.009 5.819 90.00 90.00 90.00
Site moments in Bohr magnetons follow the coordinates.
Fractional positions:
P  0.000  0.000  0.586  0.07
Y  0.500  0.500  0.669  -0.02
Y  0.000  0.000  0.079  -0.04
Tc  0.500  0.500  0.166  1.43

* volume: 93.10 Å³ per cell
* formation energy from the elements: -0.7 eV per formula unit
* DOS at the Fermi energy: 3.44 states/eV/cell
* final energy: -7.35 eV/atom
* space-group type: No. 25

***

Record 14
This record from the Alexandria database describes an optimized crystal structure of YTcP2. The functional is GGA-PBE.

Lattice parameters (Å, degrees): 8.036 8.036 8.036 23.34 23.34 23.34
Fractional positions:
Y  0.750  0.750  0.750
P  0.246  0.246  0.246
P  0.990  0.990  0.990
Tc  0.515  0.515  0.515

* volume: 71.52 Å³ per cell
* formation energy from the elements: 0.0 eV per formula unit
* DOS at the Fermi energy: 3.28 states/eV/cell
* final energy: -6.90 eV/atom
* ΔE to the lowest computed polymorph: 0.8191 eV/atom
* space-group type: No. 160

***

Record 15
This record from the Alexandria database describes an optimized crystal structure of Y2TcP. The functional is GGA-PBE.

Lattice parameters (Å, degrees): 7.890 7.890 7.890 27.12 27.12 27.12
Fractional positions:
Tc  0.000  0.000  0.000
Y  0.244  0.244  0.244
Y  0.756  0.756  0.756
P  0.500  0.500  0.500

* volume: 90.06 Å³ per cell
* formation energy from the elements: -1.5 eV per formula unit
* DOS at the Fermi energy: 2.12 states/eV/cell
* final energy: -7.54 eV/atom
* space-group type: No. 166